First-principles (GGA-PBE) data for a geometry-optimized LaRhW2 structure, as listed in Alexandria via LeMat-Bulk.

Unit cell a=10.3123 b=10.3123 c=10.3123 alpha=16.15 beta=16.15 gamma=16.15
Atoms (fractional coordinates):
La 0.5000 0.5000 0.5000
Rh 0.0000 0.0000 0.0000
W 0.7380 0.7380 0.7380
W 0.2620 0.2620 0.2620

Output
N(E_F) in states/eV/f.u.: 6.02
E_tot in eV/atom: -8.93
Space-group type: No. 166